VASP calculation (PBE) on a geometry-optimized Tb8PdRu2 structure.

Cell: 5.7847 7.6053 7.6053 Å, 112.48 99.49 99.49°
Fractional positions:
1 Tb 0.9026 0.9261 0.6653
2 Tb 0.9026 0.6653 0.9261
3 Tb 0.3057 0.6301 0.6301
4 Tb 0.5000 0.7757 0.2243
5 Tb 0.5000 0.2243 0.7757
6 Tb 0.6943 0.3699 0.3699
7 Tb 0.0974 0.3347 0.0739
8 Tb 0.0974 0.0739 0.3347
9 Pd 0.5000 0.0000 0.0000
10 Ru 0.0000 0.3087 0.6913
11 Ru 0.0000 0.6913 0.3087

size of the total moment: 0.00 μB per cell
ρ: 8.886 g/cm3
VASP energy: -5.79 eV per atom
volume: 26.84 Å³ per atom